[1]
This record from Alexandria via LeMat-Bulk describes a relaxed Ce6HPb3 crystal. The functional is PBE.

abc: 6.4893 6.4893 8.1037
angles: 104.99 104.99 58.19
Closest atoms and distances in Å follow each position.
Atoms (fractional coordinates):
Ce 0.0952 0.6560 0.6271  1 H 2.42
Ce 0.1519 0.1519 0.8804  1 H 3.05, 3 Pb 3.33-3.39
Ce 0.3440 0.9048 0.3729  1 H 2.42
Ce 0.6560 0.0952 0.6271  1 H 2.42
Ce 0.8481 0.8481 0.1196  1 H 3.05, 3 Pb 3.33-3.39
Ce 0.9048 0.3440 0.3729  1 H 2.42
H 0.0000 0.0000 0.5000  4 Ce 2.42
Pb 0.3534 0.3534 0.2744  1 Pb 3.15, 9 Ce 3.24-3.43
Pb 0.5000 0.5000 0.0000  2 Pb 3.15, 4 Ce 3.42
Pb 0.6466 0.6466 0.7256  1 Pb 3.15, 9 Ce 3.24-3.43

Properties
Space group: No. 12
Crystal system: monoclinic
E: -5.222 eV/atom



[2]
This record from Alexandria via LeMat-Bulk describes a relaxed Sm2Dy2InGa4 crystal. The functional is PBE.

abc: 6.8482 6.8482 6.8482
angles: 117.29 117.29 94.76
Closest atoms and distances in Å follow each position.
Atoms (fractional coordinates):
Sm 0.1867 0.1867 0.0000  1 In 2.91, 4 Ga 2.98
Sm 0.8133 0.8133 0.0000  1 In 2.91, 4 Ga 2.98
Dy 0.2500 0.7500 0.5000  8 Ga 3.43, 4 Sm 3.61
Dy 0.7500 0.2500 0.5000  8 Ga 3.43, 4 Sm 3.61
In 0.5000 0.5000 0.0000  4 Ga 2.62, 2 Sm 2.91
Ga 0.2404 0.2404 0.4808  1 In 2.62
Ga 0.2404 0.7596 0.0000  1 In 2.62
Ga 0.7596 0.2404 0.0000  1 In 2.62
Ga 0.7596 0.7596 0.5192  1 In 2.62

Properties
Space group: No. 139
Crystal system: tetragonal
E: -3.867 eV/atom



[3]
This record from Alexandria via LeMat-Bulk describes a relaxed ZrAsS3 crystal. The functional is PBE.

abc: 4.6492 4.6492 4.6492
angles: 90.00 90.00 90.00
Closest atoms and distances in Å follow each position.
Atoms (fractional coordinates):
Zr 0.0000 0.0000 0.0000  12 S 3.29
As 0.5000 0.5000 0.5000  6 S 2.32
S 0.0000 0.5000 0.5000  2 As 2.32
S 0.5000 0.0000 0.5000  2 As 2.32
S 0.5000 0.5000 0.0000  2 As 2.32

Properties
Space group: No. 221
Crystal system: cubic
ΔE_f (raw): 0.6 eV per formula unit



[4]
This record from Alexandria via LeMat-Bulk describes a relaxed MnCr crystal. The functional is PBE.

abc: 3.5687 3.5687 4.6258
angles: 90.00 90.00 120.00
Closest atoms and distances in Å follow each position.
Atoms (fractional coordinates):
Mn 0.0000 0.0000 0.0000  2 Mn 2.31, 6 Cr 2.36
Mn 0.0000 0.0000 0.5000  2 Mn 2.31, 6 Cr 2.36
Cr 0.3333 0.6667 0.2500  6 Mn 2.36
Cr 0.6667 0.3333 0.7500  6 Mn 2.36

Properties
Space group: No. 194
Crystal system: hexagonal
E: -8.683 eV/atom